A | An optimized crystal structure of ReOs2Cl. Source: Alexandria via LeMat-Bulk, functional PBEsol.

Geometry as POSCAR:
```
ReOs2Cl
1.0
2.819 0.000 0.000
0.000 4.499 0.000
0.000 0.000 8.883
Re Os Cl
2 4 2
direct
0.000 0.000 0.000
0.500 0.500 0.500
0.000 0.000 0.464
0.000 0.500 0.232
0.500 0.000 0.732
0.500 0.500 0.964
0.000 0.500 0.726
0.500 0.000 0.226
```

Properties
SG = Imm2, No. 44

B | An optimized crystal structure of ReOs2Cl. Source: Alexandria via LeMat-Bulk, functional PBEsol.

Geometry as POSCAR:
```
ReOs2Cl
1.0
2.752 0.000 0.000
0.000 4.823 0.000
0.000 0.000 8.950
Re Os Cl
2 4 2
direct
0.000 0.000 0.000
0.500 0.500 0.000
0.000 0.500 0.247
0.000 0.500 0.753
0.500 0.000 0.247
0.500 0.000 0.753
0.000 0.000 0.500
0.500 0.500 0.500
```

Properties
SG = Cmmm, No. 65

It is A that is the least stable of them.

A | An optimized crystal structure of OsRhCl2. Source: Alexandria via LeMat-Bulk, functional PBEsol.

Geometry as POSCAR:
```
OsRhCl2
1.0
2.827 0.000 0.000
0.000 4.248 0.000
0.000 0.000 10.609
Os Rh Cl
2 2 4
direct
0.000 0.000 0.000
0.500 0.500 0.500
0.000 0.500 0.302
0.500 0.000 0.802
0.000 0.000 0.502
0.000 0.500 0.708
0.500 0.000 0.208
0.500 0.500 0.002
```

Properties
SG = Imm2, No. 44

B | An optimized crystal structure of OsRhCl2. Source: Alexandria via LeMat-Bulk, functional PBEsol.

Geometry as POSCAR:
```
OsRhCl2
1.0
2.850 0.000 0.000
0.000 4.511 0.000
0.000 0.000 12.163
Os Rh Cl
2 2 4
direct
0.000 0.000 0.000
0.500 0.500 0.500
0.000 0.000 0.500
0.500 0.500 0.000
0.000 0.500 0.345
0.000 0.500 0.655
0.500 0.000 0.155
0.500 0.000 0.845
```

Properties
SG = Immm, No. 71

C | An optimized crystal structure of OsRhCl2. Source: Alexandria via LeMat-Bulk, functional PBEsol.

Geometry as POSCAR:
```
OsRhCl2
1.0
2.906 0.000 0.000
0.000 2.906 0.000
0.000 0.000 8.005
Os Rh Cl
1 1 2
direct
0.000 0.000 0.000
0.500 0.500 0.196
0.000 0.000 0.405
0.500 0.500 0.790
```

Properties
SG = P4mm, No. 99

D | An optimized crystal structure of OsRhCl2. Source: Alexandria via LeMat-Bulk, functional PBEsol.

Geometry as POSCAR:
```
OsRhCl2
1.0
6.227 0.000 0.000
0.000 6.227 0.000
0.000 0.000 6.227
Os Rh Cl
4 4 8
direct
0.000 0.000 0.000
0.000 0.500 0.500
0.500 0.000 0.500
0.500 0.500 0.000
0.250 0.250 0.750
0.250 0.750 0.250
0.750 0.250 0.250
0.750 0.750 0.750
0.000 0.000 0.500
0.000 0.500 0.000
0.250 0.250 0.250
0.250 0.750 0.750
0.500 0.000 0.000
0.500 0.500 0.500
0.750 0.250 0.750
0.750 0.750 0.250
```

Properties
SG = F-43m, No. 216

It is D that is the least stable of them.

A | An optimized crystal structure of SrOsCl2. Source: Alexandria via LeMat-Bulk, functional PBEsol.

Geometry as POSCAR:
```
SrOsCl2
1.0
3.863 0.000 0.000
0.000 3.863 0.000
0.000 0.000 11.373
Sr Os Cl
2 2 4
direct
0.000 0.000 0.000
0.500 0.500 0.500
0.000 0.500 0.750
0.500 0.000 0.250
0.000 0.000 0.500
0.000 0.500 0.250
0.500 0.000 0.750
0.500 0.500 0.000
```

Properties
SG = I-4m2, No. 119

B | An optimized crystal structure of SrOsCl2. Source: Alexandria via LeMat-Bulk, functional PBEsol.

Geometry as POSCAR:
```
SrOsCl2
1.0
4.640 0.000 0.000
0.000 4.640 0.000
0.000 0.000 3.390
Sr Os Cl
1 1 2
direct
0.000 0.000 0.000
0.500 0.500 0.000
0.000 0.500 0.500
0.500 0.000 0.500
```

Properties
SG = P4/mmm, No. 123

It is A that is the least stable of them.

A | An optimized crystal structure of TaOs2Cl. Source: Alexandria via LeMat-Bulk, functional PBEsol.

Geometry as POSCAR:
```
TaOs2Cl
1.0
2.808 0.000 0.000
0.000 2.808 0.000
0.000 0.000 8.661
Ta Os Cl
1 2 1
direct
0.000 0.000 0.000
0.000 0.000 0.570
0.500 0.500 0.763
0.500 0.500 0.189
```

Properties
SG = P4mm, No. 99

B | An optimized crystal structure of TaOs2Cl. Source: Alexandria via LeMat-Bulk, functional PBEsol.

Geometry as POSCAR:
```
TaOs2Cl
1.0
2.871 0.000 0.000
0.000 4.126 0.000
-1.296 0.000 5.007
Ta Os Cl
1 2 1
direct
0.000 0.000 0.000
0.357 0.500 0.735
0.643 0.500 0.265
0.000 0.000 0.500
```

Properties
SG = P2/m, No. 10

C | An optimized crystal structure of TaOs2Cl. Source: Alexandria via LeMat-Bulk, functional PBEsol.

Geometry as POSCAR:
```
TaOs2Cl
1.0
5.867 0.000 0.000
0.000 7.063 0.000
0.000 0.000 2.948
Ta Os Cl
2 4 2
direct
0.000 0.000 0.000
0.500 0.500 0.000
0.250 0.250 0.500
0.250 0.750 0.500
0.750 0.250 0.500
0.750 0.750 0.500
0.000 0.500 0.000
0.500 0.000 0.000
```

Properties
SG = Cmmm, No. 65

It is C that is the least stable of them.

A | An optimized crystal structure of TaOsCl2. Source: Alexandria via LeMat-Bulk, functional PBEsol.

Geometry as POSCAR:
```
TaOsCl2
1.0
6.141 0.000 0.000
0.000 6.150 0.000
0.000 0.000 3.086
Ta Os Cl
2 2 4
direct
0.000 0.000 0.000
0.500 0.500 0.000
0.000 0.500 0.000
0.500 0.000 0.000
0.250 0.250 0.500
0.250 0.750 0.500
0.750 0.250 0.500
0.750 0.750 0.500
```

Properties
SG = Cmmm, No. 65

B | An optimized crystal structure of TaOsCl2. Source: Alexandria via LeMat-Bulk, functional PBEsol.

Geometry as POSCAR:
```
TaOsCl2
1.0
3.963 0.000 0.000
0.000 3.963 0.000
0.000 0.000 8.067
Ta Os Cl
2 2 4
direct
0.000 0.000 0.000
0.500 0.500 0.500
0.000 0.000 0.500
0.500 0.500 0.000
0.000 0.500 0.250
0.000 0.500 0.750
0.500 0.000 0.250
0.500 0.000 0.750
```

Properties
SG = I4/mmm, No. 139

C | An optimized crystal structure of TaOsCl2. Source: Alexandria via LeMat-Bulk, functional PBEsol.

Geometry as POSCAR:
```
TaOsCl2
1.0
2.974 0.000 0.000
-1.487 2.576 0.000
0.000 0.000 24.478
Ta Os Cl
3 3 6
direct
0.000 0.000 0.000
0.333 0.667 0.667
0.667 0.333 0.333
0.000 0.000 0.500
0.333 0.667 0.167
0.667 0.333 0.833
0.000 0.000 0.408
0.000 0.000 0.592
0.333 0.667 0.074
0.333 0.667 0.259
0.667 0.333 0.741
0.667 0.333 0.926
```

Properties
SG = R-3m, No. 166

It is A that is the least stable of them.

A | An optimized crystal structure of TcOsCl2. Source: Alexandria via LeMat-Bulk, functional PBEsol.

Geometry as POSCAR:
```
TcOsCl2
1.0
2.883 0.000 0.000
-1.441 2.496 0.000
0.000 0.000 25.197
Tc Os Cl
3 3 6
direct
0.000 0.000 0.000
0.333 0.667 0.667
0.667 0.333 0.333
0.000 0.000 0.500
0.333 0.667 0.167
0.667 0.333 0.833
0.000 0.000 0.088
0.000 0.000 0.912
0.333 0.667 0.578
0.333 0.667 0.755
0.667 0.333 0.245
0.667 0.333 0.422
```

Properties
SG = R-3m, No. 166

B | An optimized crystal structure of TcOsCl2. Source: Alexandria via LeMat-Bulk, functional PBEsol.

Geometry as POSCAR:
```
TcOsCl2
1.0
4.882 0.000 0.000
0.000 4.882 0.000
0.000 0.000 4.949
Tc Os Cl
2 2 4
direct
0.000 0.000 0.000
0.500 0.500 0.500
0.000 0.500 0.250
0.500 0.000 0.750
0.000 0.000 0.500
0.000 0.500 0.750
0.500 0.000 0.250
0.500 0.500 0.000
```

Properties
SG = I-4m2, No. 119

It is B that is the least stable of them.

A | An optimized crystal structure of TcOsCl2. Source: Alexandria via LeMat-Bulk, functional PBEsol.

Geometry as POSCAR:
```
TcOsCl2
1.0
2.777 0.000 0.000
0.000 4.163 0.000
0.000 0.000 5.164
Tc Os Cl
1 1 2
direct
0.000 0.000 0.000
0.500 0.000 0.500
0.000 0.500 0.500
0.500 0.500 0.000
```

Properties
SG = Pmmm, No. 47

B | An optimized crystal structure of TcOsCl2. Source: Alexandria via LeMat-Bulk, functional PBEsol.

Geometry as POSCAR:
```
TcOsCl2
1.0
6.023 0.000 0.000
0.000 3.477 0.000
-0.058 0.000 8.284
Tc Os Cl
2 2 4
direct
0.000 0.000 0.000
0.500 0.500 0.000
0.165 0.500 0.851
0.665 0.000 0.851
0.163 0.500 0.584
0.335 0.000 0.205
0.663 0.000 0.584
0.835 0.500 0.205
```

Properties
SG = Cm, No. 8

C | An optimized crystal structure of TcOsCl2. Source: Alexandria via LeMat-Bulk, functional PBEsol.

Geometry as POSCAR:
```
TcOsCl2
1.0
2.897 0.000 0.000
-1.449 2.509 0.000
0.000 0.000 27.264
Tc Os Cl
3 3 6
direct
0.000 0.000 0.000
0.333 0.667 0.667
0.667 0.333 0.333
0.000 0.000 0.259
0.333 0.667 0.926
0.667 0.333 0.593
0.000 0.000 0.521
0.000 0.000 0.734
0.333 0.667 0.188
0.333 0.667 0.400
0.667 0.333 0.067
0.667 0.333 0.855
```

Properties
SG = R3m, No. 160

It is A that is the least stable of them.

A | An optimized crystal structure of TlOsCl2. Source: Alexandria via LeMat-Bulk, functional PBEsol.

Geometry as POSCAR:
```
TlOsCl2
1.0
3.012 0.000 0.000
0.000 5.697 0.000
0.000 0.000 9.423
Tl Os Cl
2 2 4
direct
0.000 0.000 0.000
0.500 0.500 0.000
0.000 0.000 0.500
0.500 0.500 0.500
0.000 0.500 0.307
0.000 0.500 0.693
0.500 0.000 0.307
0.500 0.000 0.693
```

Properties
SG = Cmmm, No. 65

B | An optimized crystal structure of TlOsCl2. Source: Alexandria via LeMat-Bulk, functional PBEsol.

Geometry as POSCAR:
```
TlOsCl2
1.0
10.371 0.000 0.000
0.000 3.506 0.000
-2.779 0.000 4.951
Tl Os Cl
2 2 4
direct
0.000 0.000 0.000
0.500 0.500 0.000
0.270 0.000 0.006
0.770 0.500 0.006
0.168 0.500 0.692
0.343 0.500 0.322
0.668 0.000 0.692
0.843 0.000 0.322
```

Properties
SG = Cm, No. 8

C | An optimized crystal structure of TlOsCl2. Source: Alexandria via LeMat-Bulk, functional PBEsol.

Geometry as POSCAR:
```
TlOsCl2
1.0
3.083 0.000 0.000
0.000 5.179 0.000
0.000 0.000 10.667
Tl Os Cl
2 2 4
direct
0.000 0.000 0.000
0.500 0.500 0.500
0.000 0.000 0.500
0.500 0.500 0.000
0.000 0.500 0.171
0.000 0.500 0.829
0.500 0.000 0.329
0.500 0.000 0.671
```

Properties
SG = Immm, No. 71

D | An optimized crystal structure of TlOsCl2. Source: Alexandria via LeMat-Bulk, functional PBEsol.

Geometry as POSCAR:
```
TlOsCl2
1.0
3.113 0.000 0.000
0.000 3.113 0.000
0.000 0.000 8.435
Tl Os Cl
1 1 2
direct
0.000 0.000 0.000
0.000 0.000 0.500
0.500 0.500 0.306
0.500 0.500 0.694
```

Properties
SG = P4/mmm, No. 123

It is D that is the least stable of them.